The following is a PBE-GGA calculation of a relaxed structure of RbHg6H3, from Alexandria via LeMat-Bulk.

The uncorrected energy is -1.179 eV per atom. The density of states at the Fermi level comes out at 0.1956 states/eV/atom.

The space group is P2_1/c (No. 14) and the conventional cell measures 8.4212, 6.1292 and 11.0678 Å, with angles of 90.00, 117.94 and 90.00 degrees. The inequivalent atoms are Rb at (0.0000, 0.0000, 0.0000), Hg at (0.0992, 0.0002, 0.6995), Hg at (0.3163, 0.0009, 0.5545), Hg at (0.4793, 0.5015, 0.6294), H at (0.0012, 0.7503, 0.2506) and H at (0.5000, 0.0000, 0.5000).

***

The following is a PBE-GGA calculation of a relaxed structure of YPb2, from Alexandria via LeMat-Bulk.

The calculation puts the formation energy at -0.1341 eV per atom. The density of states at the Fermi level comes out at 0.7740 states/eV/atom.

The space group is I4_1/amd (No. 141, origin choice 2) and the conventional cell measures 4.1798, 4.1798 and 21.7735 Å, with angles of 90.00, 90.00 and 90.00 degrees. The inequivalent atoms are Y at (0.0000, 0.2500, 0.3750) and Pb at (0.0000, 0.2500, 0.8023).

***

The following is a PBE-GGA calculation of a relaxed structure of Cd3H2Rh2, from Alexandria via LeMat-Bulk.

The uncorrected energy is -3.505 eV per atom. The density of states at the Fermi level comes out at 0.1643 states/eV/atom.

The space group is Pbcm (No. 57) and the conventional cell measures 4.8646, 7.6138 and 11.2923 Å, with angles of 90.00, 90.00 and 90.00 degrees. The inequivalent atoms are Cd at (0.1939, 0.1244, 0.2500), Cd at (0.2617, 0.0554, 0.5690), H at (0.0628, 0.7500, 0.0000), H at (0.4422, 0.6537, 0.7500) and Rh at (0.2457, 0.7032, 0.6261).

***

Please write out number 3 again, unchanged.
The following is a PBE-GGA calculation of a relaxed structure of Cd3H2Rh2, from Alexandria via LeMat-Bulk.

The uncorrected energy is -3.505 eV per atom. The density of states at the Fermi level comes out at 0.1643 states/eV/atom.

The space group is Pbcm (No. 57) and the conventional cell measures 4.8646, 7.6138 and 11.2923 Å, with angles of 90.00, 90.00 and 90.00 degrees. The inequivalent atoms are Cd at (0.1939, 0.1244, 0.2500), Cd at (0.2617, 0.0554, 0.5690), H at (0.0628, 0.7500, 0.0000), H at (0.4422, 0.6537, 0.7500) and Rh at (0.2457, 0.7032, 0.6261).

***

Which formula does entry 3 have?
Cd3H2Rh2